MnVSe2: optimized geometry, PBE.

Lattice parameters (Å, degrees): 5.780 5.780 11.433 90.00 90.00 90.00
Space group I-42d (No. 122)
Symmetry-distinct sites (fractional):
Mn: 0.000 0.000 0.000
V: 0.000 0.000 0.500
Se: 0.244 0.250 0.625

## Properties
Polymorph energy (0 for the lowest one) (meV/atom): 0
Crystal system: tetragonal

---

MnV4Se8: optimized geometry, PBE.

Lattice parameters (Å, degrees): 7.0423 7.0423 19.2287 90.00 90.00 120.00
Space group R-3m (No. 166, hexagonal axes)
Symmetry-distinct sites (fractional):
Mn: 0.0000 0.0000 0.0000
V: 0.0000 0.0000 0.5000
V: 0.0000 0.5000 0.5000
Se: 0.0000 0.0000 0.2445
Se: 0.0005 0.5003 0.2466

## Properties
Polymorph energy (0 for the lowest one) (meV/atom): 72
Crystal system: trigonal

---

Mn3VSe6: optimized geometry, PBE.

Lattice parameters (Å, degrees): 6.4734 6.4734 17.2661 90.00 90.00 120.00
Space group R3 (No. 146, hexagonal axes)
Symmetry-distinct sites (fractional):
Mn: 0.0000 0.0000 0.0000
Mn: 0.0000 0.0000 0.1896
Mn: 0.0000 0.0000 0.4994
V: 0.0000 0.0000 0.6908
Se: 0.0029 0.6911 0.5938
Se: 0.0198 0.3520 0.7594

## Properties
Crystal system: trigonal

---

MnV3Se: optimized geometry, PBE.

Lattice parameters (Å, degrees): 4.509 4.509 4.509 90.00 90.00 90.00
Space group Pm-3m (No. 221)
Symmetry-distinct sites (fractional):
Mn: 0.000 0.000 0.000
V: 0.000 0.500 0.500
Se: 0.500 0.500 0.500

## Properties
Crystal system: cubic

---

Mn3VSe: optimized geometry, PBE.

Lattice parameters (Å, degrees): 4.506 4.506 4.506 90.00 90.00 90.00
Space group Pm-3m (No. 221)
Symmetry-distinct sites (fractional):
Mn: 0.000 0.000 0.500
V: 0.000 0.000 0.000
Se: 0.500 0.500 0.500

## Properties
Polymorph energy (0 for the lowest one) (meV/atom): 0
Crystal system: cubic

---

MnVSe2: optimized geometry, PBE.

Lattice parameters (Å, degrees): 3.5867 3.5867 23.5406 90.00 90.00 120.00
Space group R-3m (No. 166, hexagonal axes)
Symmetry-distinct sites (fractional):
Mn: 0.0000 0.0000 0.0000
V: 0.0000 0.0000 0.5000
Se: 0.0000 0.0000 0.3955

## Properties
Polymorph energy (0 for the lowest one) (meV/atom): 303
Crystal system: trigonal

---

MnVSe2: optimized geometry, PBE.

Lattice parameters (Å, degrees): 3.3066 3.3066 24.3338 90.00 90.00 120.00
Space group R-3m (No. 166, hexagonal axes)
Symmetry-distinct sites (fractional):
Mn: 0.0000 0.0000 0.0000
V: 0.0000 0.0000 0.5000
Se: 0.0000 0.0000 0.1013

## Properties
Polymorph energy (0 for the lowest one) (meV/atom): 62
Crystal system: trigonal

---

MnV3Se6: optimized geometry, PBE.

Lattice parameters (Å, degrees): 6.4446 6.4446 17.0179 90.00 90.00 120.00
Space group R3 (No. 146, hexagonal axes)
Symmetry-distinct sites (fractional):
Mn: 0.0000 0.0000 0.0000
V: 0.0000 0.0000 0.1810
V: 0.0000 0.0000 0.5039
V: 0.0000 0.0000 0.6836
Se: 0.0119 0.6698 0.7636
Se: 0.0178 0.3426 0.2628

## Properties
Polymorph energy (0 for the lowest one) (meV/atom): 0
Crystal system: trigonal

---

no.,M_tot (μB per atom),formation energy from raw total energies (kJ/mol of atoms)
1,1.6958,-26.9
2,0.8212,-58.7
3,1.4067,-46.5
4,0.0708,67.6
5,1.5749,88.0
6,1.7656,2.3
7,0.9778,-21.0
8,1.0053,-58.5